Entry 1:
# ZrTlP2 (GGA-PBEsol, optimized geometry)
data_ZrTlP2
_chemical_formula_sum 'Zr2 Tl2 P4'
_space_group_name_H-M_alt 'C 1 2/m 1'
_space_group_IT_number 12
_space_group_name_Hall '-C 2y'
_cell_length_a 9.167
_cell_length_b 3.211
_cell_length_c 5.621
_cell_angle_alpha 90.00
_cell_angle_beta 98.33
_cell_angle_gamma 90.00
loop_
_atom_site_label
_atom_site_type_symbol
_atom_site_fract_x
_atom_site_fract_y
_atom_site_fract_z
Zr1 Zr 0.000 0.000 0.000
Tl1 Tl 0.000 0.500 0.500
P1 P 0.232 0.500 0.140
# - M_tot (μB/f.u.) = 0.000
# - calculated formation energy (eV per atom) = -0.349
# - energy relative to the lowest polymorph listed for this composition (eV per formula unit) = 0.16

Entry 2:
# IrPtCl2 (GGA-PBEsol, optimized geometry)
data_IrPtCl2
_chemical_formula_sum 'Ir2 Pt2 Cl4'
_space_group_name_H-M_alt 'C m m m'
_space_group_IT_number 65
_space_group_name_Hall '-C 2 2'
_cell_length_a 2.828
_cell_length_b 5.280
_cell_length_c 8.402
_cell_angle_alpha 90.00
_cell_angle_beta 90.00
_cell_angle_gamma 90.00
loop_
_atom_site_label
_atom_site_type_symbol
_atom_site_fract_x
_atom_site_fract_y
_atom_site_fract_z
Ir1 Ir 0.000 0.000 0.000
Pt1 Pt 0.000 0.000 0.500
Cl1 Cl 0.000 0.500 0.234
# - formation energy without anion corrections (meV/atom) = 583
# - M_tot (μB/f.u.) = 0.001
# - energy relative to the lowest polymorph listed for this composition (eV per formula unit) = 2.24